Here is BH2Pt at its PBEsol-relaxed geometry from Alexandria. Energies are from meta-GGA SCAN.

Unit cell a=3.084 b=3.084 c=14.076 alpha=90.00 beta=90.00 gamma=90.00
Sites, in units of the cell vectors:
B 0.000 0.250 0.375
B 0.000 0.750 0.625
B 0.500 0.250 0.125
B 0.500 0.750 0.875
H 0.000 0.000 0.000
H 0.000 0.500 0.000
H 0.250 0.250 0.750
H 0.250 0.750 0.250
H 0.500 0.000 0.500
H 0.500 0.500 0.500
H 0.750 0.250 0.750
H 0.750 0.750 0.250
Pt 0.000 0.250 0.875
Pt 0.000 0.750 0.125
Pt 0.500 0.250 0.625
Pt 0.500 0.750 0.375

Calculated values
Its total moment is 0.0 μB per formula unit. As for the total DFT energy (no corrections): -329.6 eV/cell. The space group is I4_1/amd (141). Its density of states at the Fermi level is 2.80 states/eV per cell.

Here is MgAlTc3 at its PBEsol-relaxed geometry from Alexandria. Energies are from meta-GGA SCAN.

Unit cell a=4.451 b=4.451 c=4.451 alpha=90.00 beta=90.00 gamma=90.00
Sites, in units of the cell vectors:
Mg 0.000 0.000 0.000
Al 0.500 0.500 0.500
Tc 0.000 0.500 0.500
Tc 0.500 0.000 0.500
Tc 0.500 0.500 0.000

Calculated values
Its total moment is 0.0 μB per formula unit. As for the total DFT energy (no corrections): -111.8 eV/cell. Its energy relative to the elements is 1.22 eV/atom. The space group is Pm-3m (221). Its density of states at the Fermi level is 5.91 states/eV per cell.

Here is K2YPb at its PBEsol-relaxed geometry from Alexandria. Energies are from meta-GGA SCAN.

Unit cell a=4.780 b=4.780 c=6.594 alpha=90.00 beta=90.00 gamma=90.00
Sites, in units of the cell vectors:
K 0.000 0.000 0.230
K 0.000 0.000 0.770
Y 0.500 0.500 0.500
Pb 0.500 0.500 0.000

Calculated values
Its total moment is 1.4 μB per formula unit. As for the total DFT energy (no corrections): -119.4 eV/cell. Its energy relative to the elements is 0.21 eV/atom. The space group is P4/mmm (123). Its density of states at the Fermi level is 3.34 states/eV per cell.

Here is P2PdRhC at its PBEsol-relaxed geometry from Alexandria. Energies are from meta-GGA SCAN.

Unit cell a=4.035 b=4.035 c=3.938 alpha=90.00 beta=90.00 gamma=90.00
Sites, in units of the cell vectors:
P 0.000 0.500 0.000
P 0.500 0.000 0.000
Pd 0.000 0.000 0.500
Rh 0.500 0.500 0.500
C 0.500 0.500 0.000

Calculated values
Its total moment is 0.0 μB per formula unit. As for the total DFT energy (no corrections): -93.4 eV/cell. Its energy relative to the elements is 0.81 eV/atom. The space group is P4/mmm (123). Its density of states at the Fermi level is 2.37 states/eV per cell.

Here is Al2FeMo at its PBEsol-relaxed geometry from Alexandria. Energies are from meta-GGA SCAN.

Unit cell a=2.916 b=4.234 c=8.725 alpha=90.00 beta=90.00 gamma=90.00
Sites, in units of the cell vectors:
Al 0.000 0.000 0.000
Al 0.000 0.500 0.220
Al 0.500 0.000 0.720
Al 0.500 0.500 0.500
Fe 0.000 0.500 0.727
Fe 0.500 0.000 0.227
Mo 0.000 0.000 0.456
Mo 0.500 0.500 0.956

Calculated values
The distance to the lowest polymorph of the same formula comes out at 0.130 eV/atom. Its total moment is 0.0 μB per formula unit. As for the total DFT energy (no corrections): -137.9 eV/cell. Its energy relative to the elements is -0.11 eV/atom. The space group is Imm2 (44). Its density of states at the Fermi level is 6.24 states/eV per cell.

Here is Ba2LiCa at its PBEsol-relaxed geometry from Alexandria. Energies are from meta-GGA SCAN.

Unit cell a=9.101 b=9.101 c=9.101 alpha=90.00 beta=90.00 gamma=90.00
Sites, in units of the cell vectors:
Ba 0.250 0.250 0.250
Ba 0.250 0.250 0.750
Ba 0.250 0.750 0.250
Ba 0.250 0.750 0.750
Ba 0.750 0.250 0.250
Ba 0.750 0.250 0.750
Ba 0.750 0.750 0.250
Ba 0.750 0.750 0.750
Li 0.000 0.000 0.000
Li 0.000 0.500 0.500
Li 0.500 0.000 0.500
Li 0.500 0.500 0.000
Ca 0.000 0.000 0.500
Ca 0.000 0.500 0.000
Ca 0.500 0.000 0.000
Ca 0.500 0.500 0.500

Calculated values
The distance to the lowest polymorph of the same formula comes out at 0.074 eV/atom. Its total moment is 0.7 μB per formula unit. As for the total DFT energy (no corrections): -362.9 eV/cell. Its energy relative to the elements is 0.11 eV/atom. The space group is Fm-3m (225). Its density of states at the Fermi level is 22.83 states/eV per cell.

Here is RbH3Pb at its PBEsol-relaxed geometry from Alexandria. Energies are from meta-GGA SCAN.

Unit cell a=4.579 b=4.579 c=4.579 alpha=90.00 beta=90.00 gamma=90.00
Sites, in units of the cell vectors:
Rb 0.000 0.000 0.000
H 0.000 0.000 0.500
H 0.000 0.500 0.000
H 0.500 0.000 0.000
Pb 0.500 0.500 0.500

Calculated values
Its total moment is 0.0 μB per formula unit. As for the total DFT energy (no corrections): -102.3 eV/cell. The space group is Pm-3m (221). Its density of states at the Fermi level is 0.55 states/eV per cell.

Here is Na3TiIr at its PBEsol-relaxed geometry from Alexandria. Energies are from meta-GGA SCAN.

Unit cell a=5.267 b=5.267 c=5.267 alpha=90.00 beta=90.00 gamma=90.00
Sites, in units of the cell vectors:
Na 0.000 0.000 0.500
Na 0.000 0.500 0.000
Na 0.500 0.000 0.000
Ti 0.500 0.500 0.500
Ir 0.000 0.000 0.000

Calculated values
Its total moment is 2.4 μB per formula unit. As for the total DFT energy (no corrections): -93.5 eV/cell. Its energy relative to the elements is 1.25 eV/atom. The space group is Pm-3m (221). Its density of states at the Fermi level is 2.69 states/eV per cell.

Here is KBaIn2 at its PBEsol-relaxed geometry from Alexandria. Energies are from meta-GGA SCAN.

Unit cell a=8.252 b=8.252 c=8.252 alpha=90.00 beta=90.00 gamma=90.00
Sites, in units of the cell vectors:
K 0.000 0.000 0.000
K 0.000 0.500 0.500
K 0.500 0.000 0.500
K 0.500 0.500 0.000
Ba 0.000 0.000 0.500
Ba 0.000 0.500 0.000
Ba 0.500 0.000 0.000
Ba 0.500 0.500 0.500
In 0.250 0.250 0.250
In 0.250 0.250 0.750
In 0.250 0.750 0.250
In 0.250 0.750 0.750
In 0.750 0.250 0.250
In 0.750 0.250 0.750
In 0.750 0.750 0.250
In 0.750 0.750 0.750

Calculated values
Its total moment is 0.0 μB per formula unit. As for the total DFT energy (no corrections): -463.1 eV/cell. Its energy relative to the elements is -0.28 eV/atom. The space group is Fm-3m (225). Its density of states at the Fermi level is 11.52 states/eV per cell.

Here is Zr4ReSe at its PBEsol-relaxed geometry from Alexandria. Energies are from meta-GGA SCAN.

Unit cell a=5.489 b=5.489 c=5.489 alpha=60.00 beta=60.00 gamma=60.00
Sites, in units of the cell vectors:
Zr 0.376 0.376 0.376
Zr 0.376 0.376 0.871
Zr 0.376 0.871 0.376
Zr 0.871 0.376 0.376
Re 0.750 0.750 0.750
Se 0.000 0.000 0.000

Calculated values
Its total moment is 0.0 μB per formula unit. As for the total DFT energy (no corrections): -210.3 eV/cell. The space group is F-43m (216). Its density of states at the Fermi level is 7.04 states/eV per cell. The calculation puts the formation energy without anion corrections at 0.61 eV/atom.

Here is ScCd2OsPt at its PBEsol-relaxed geometry from Alexandria. Energies are from meta-GGA SCAN.

Unit cell a=5.031 b=5.031 c=4.685 alpha=90.00 beta=90.00 gamma=90.00
Sites, in units of the cell vectors:
Sc 0.000 0.000 0.000
Cd 0.000 0.500 0.500
Cd 0.500 0.000 0.500
Os 0.000 0.000 0.500
Pt 0.500 0.500 0.000

Calculated values
Its total moment is 0.0 μB per formula unit. As for the total DFT energy (no corrections): -213.3 eV/cell. Its energy relative to the elements is 0.78 eV/atom. The space group is P4/mmm (123). Its density of states at the Fermi level is 4.19 states/eV per cell.

Here is MnZn at its PBEsol-relaxed geometry from Alexandria. Energies are from meta-GGA SCAN.

Unit cell a=2.537 b=2.537 c=25.413 alpha=90.00 beta=90.00 gamma=120.00
Sites, in units of the cell vectors:
Mn 0.000 0.000 0.131
Mn 0.000 0.000 0.869
Mn 0.333 0.667 0.535
Mn 0.333 0.667 0.798
Mn 0.667 0.333 0.202
Mn 0.667 0.333 0.465
Zn 0.000 0.000 0.380
Zn 0.000 0.000 0.620
Zn 0.333 0.667 0.047
Zn 0.333 0.667 0.287
Zn 0.667 0.333 0.713
Zn 0.667 0.333 0.953

Calculated values
Its total moment is 0.0 μB per formula unit. As for the total DFT energy (no corrections): -188.8 eV/cell. Its energy relative to the elements is 0.15 eV/atom. The space group is R-3m (166). Its density of states at the Fermi level is 6.57 states/eV per cell.

Here is CoNi2Rh at its PBEsol-relaxed geometry from Alexandria. Energies are from meta-GGA SCAN.

Unit cell a=2.532 b=2.532 c=7.073 alpha=90.00 beta=90.00 gamma=90.00
Sites, in units of the cell vectors:
Co 0.000 0.000 0.000
Ni 0.500 0.500 0.236
Ni 0.500 0.500 0.764
Rh 0.000 0.000 0.500

Calculated values
The distance to the lowest polymorph of the same formula comes out at 0.066 eV/atom. Its total moment is 4.3 μB per formula unit. As for the total DFT energy (no corrections): -83.2 eV/cell. Its energy relative to the elements is 0.05 eV/atom. The space group is P4/mmm (123). Its density of states at the Fermi level is 3.90 states/eV per cell.

Here is BeAlW2 at its PBEsol-relaxed geometry from Alexandria. Energies are from meta-GGA SCAN.

Unit cell a=4.514 b=4.514 c=2.685 alpha=90.00 beta=90.00 gamma=90.00
Sites, in units of the cell vectors:
Be 0.000 0.000 0.000
Al 0.500 0.500 0.000
W 0.000 0.500 0.500
W 0.500 0.000 0.500

Calculated values
Its total moment is 0.0 μB per formula unit. As for the total DFT energy (no corrections): -150.2 eV/cell. Its energy relative to the elements is 0.33 eV/atom. The space group is P4/mmm (123). Its density of states at the Fermi level is 2.66 states/eV per cell.

Here is AlCdHg3 at its PBEsol-relaxed geometry from Alexandria. Energies are from meta-GGA SCAN.

Unit cell a=5.320 b=5.320 c=5.320 alpha=90.00 beta=90.00 gamma=90.00
Sites, in units of the cell vectors:
Al 0.000 0.000 0.000
Cd 0.500 0.500 0.500
Hg 0.000 0.500 0.500
Hg 0.500 0.000 0.500
Hg 0.500 0.500 0.000

Calculated values
Its total moment is 0.0 μB per formula unit. As for the total DFT energy (no corrections): -240.2 eV/cell. Its energy relative to the elements is 0.50 eV/atom. The space group is Pm-3m (221). Its density of states at the Fermi level is 2.46 states/eV per cell.

Here is MgTc at its PBEsol-relaxed geometry from Alexandria. Energies are from meta-GGA SCAN.

Unit cell a=2.970 b=16.066 c=2.984 alpha=90.00 beta=90.00 gamma=90.00
Sites, in units of the cell vectors:
Mg 0.000 0.089 0.250
Mg 0.000 0.911 0.750
Mg 0.500 0.411 0.750
Mg 0.500 0.589 0.250
Tc 0.000 0.293 0.250
Tc 0.000 0.707 0.750
Tc 0.500 0.207 0.750
Tc 0.500 0.793 0.250

Calculated values
The distance to the lowest polymorph of the same formula comes out at 0.089 eV/atom. Its total moment is 0.0 μB per formula unit. As for the total DFT energy (no corrections): -159.9 eV/cell. Its energy relative to the elements is 0.02 eV/atom. The space group is Cmcm (63). Its density of states at the Fermi level is 4.52 states/eV per cell.

Here is SiPt2W at its PBEsol-relaxed geometry from Alexandria. Energies are from meta-GGA SCAN.

Unit cell a=3.632 b=3.847 c=4.167 alpha=90.00 beta=90.00 gamma=90.00
Sites, in units of the cell vectors:
Si 0.000 0.000 0.000
Pt 0.000 0.500 0.500
Pt 0.500 0.000 0.500
W 0.500 0.500 0.000

Calculated values
Its total moment is 0.0 μB per formula unit. As for the total DFT energy (no corrections): -220.6 eV/cell. The space group is Pmmm (47). Its density of states at the Fermi level is 1.95 states/eV per cell. The calculation puts the formation energy without anion corrections at -0.13 eV/atom.

Here is FeCo6Mo at its PBEsol-relaxed geometry from Alexandria. Energies are from meta-GGA SCAN.

Unit cell a=6.078 b=6.078 c=9.926 alpha=90.00 beta=90.00 gamma=109.58
Sites, in units of the cell vectors:
Fe 0.000 0.000 0.248
Fe 0.000 0.000 0.752
Fe 0.253 0.747 0.000
Fe 0.747 0.253 0.000
Co 0.000 0.000 0.000
Co 0.000 0.000 0.500
Co 0.120 0.373 0.123
Co 0.120 0.373 0.877
Co 0.123 0.371 0.374
Co 0.123 0.371 0.626
Co 0.248 0.752 0.247
Co 0.248 0.752 0.753
Co 0.371 0.123 0.374
Co 0.371 0.123 0.626
Co 0.373 0.120 0.123
Co 0.373 0.120 0.877
Co 0.500 0.500 0.000
Co 0.500 0.500 0.500
Co 0.627 0.880 0.123
Co 0.627 0.880 0.877
Co 0.629 0.877 0.374
Co 0.629 0.877 0.626
Co 0.752 0.248 0.247
Co 0.752 0.248 0.753
Co 0.877 0.629 0.374
Co 0.877 0.629 0.626
Co 0.880 0.627 0.123
Co 0.880 0.627 0.877
Mo 0.254 0.746 0.500
Mo 0.500 0.500 0.248
Mo 0.500 0.500 0.752
Mo 0.746 0.254 0.500

Calculated values
Its total moment is 9.5 μB per formula unit. As for the total DFT energy (no corrections): -623.7 eV/cell. Its energy relative to the elements is 0.12 eV/atom. The space group is Cmmm (65). Its density of states at the Fermi level is 19.14 states/eV per cell.

Here is InFeNi at its PBEsol-relaxed geometry from Alexandria. Energies are from meta-GGA SCAN.

Unit cell a=2.849 b=2.849 c=6.135 alpha=90.00 beta=90.00 gamma=120.00
Sites, in units of the cell vectors:
In 0.000 0.000 0.000
Fe 0.333 0.667 0.365
Ni 0.667 0.333 0.652

Calculated values
The distance to the lowest polymorph of the same formula comes out at 0.235 eV/atom. Its total moment is 3.3 μB per formula unit. As for the total DFT energy (no corrections): -66.7 eV/cell. Its energy relative to the elements is 0.31 eV/atom. The space group is P3m1 (156). Its density of states at the Fermi level is 2.48 states/eV per cell.

Here is La5Al2Ru3 at its PBEsol-relaxed geometry from Alexandria. Energies are from meta-GGA SCAN.

Unit cell a=8.631 b=8.631 c=8.631 alpha=109.47 beta=109.47 gamma=109.47
Sites, in units of the cell vectors:
La 0.000 0.290 0.500
La 0.059 0.750 0.809
La 0.210 0.210 0.210
La 0.250 0.691 0.441
La 0.290 0.500 0.000
La 0.441 0.250 0.691
La 0.500 0.000 0.290
La 0.691 0.441 0.250
La 0.750 0.809 0.059
La 0.809 0.059 0.750
Al 0.000 0.915 0.500
Al 0.500 0.000 0.915
Al 0.585 0.585 0.585
Al 0.915 0.500 0.000
Ru 0.117 0.867 0.250
Ru 0.250 0.117 0.867
Ru 0.383 0.633 0.750
Ru 0.633 0.750 0.383
Ru 0.750 0.383 0.633
Ru 0.867 0.250 0.117

Calculated values
Its total moment is 0.2 μB per formula unit. As for the total DFT energy (no corrections): -681.5 eV/cell. Its energy relative to the elements is -0.52 eV/atom. The space group is I2_13 (199). Its density of states at the Fermi level is 12.14 states/eV per cell.